Entry 1:
Here is Li2ScCu after structural relaxation from Alexandria via LeMat-Bulk. Energies are from GGA-PBE.

- relative energy among the computed polymorphs (meV per atom) = 74

abc: 5.261 5.261 5.261
angles: 136.59 136.59 63.07
Atoms (fractional coordinates):
Li (0.250, 0.750, 0.500)
Li (0.750, 0.250, 0.500)
Sc (0.000, 0.000, 0.000)
Cu (0.500, 0.500, 0.000)

---

Entry 2:
Here is LiScCuSi after structural relaxation from Alexandria via LeMat-Bulk. Energies are from GGA-PBE.

- formation energy from raw total energies (meV per atom) = -340

abc: 4.444 4.444 4.444
angles: 60.00 60.00 60.00
Atoms (fractional coordinates):
Li (0.000, 0.000, 0.000)
Sc (0.500, 0.500, 0.500)
Cu (0.750, 0.750, 0.750)
Si (0.250, 0.250, 0.250)

---

Entry 3:
Here is LiSmScCu after structural relaxation from Alexandria via LeMat-Bulk. Energies are from GGA-PBE.

- electronic total energy (eV/atom) = -4.27

abc: 4.934 4.934 4.934
angles: 60.00 60.00 60.00
Atoms (fractional coordinates):
Li (0.000, 0.000, 0.000)
Sm (0.250, 0.250, 0.250)
Sc (0.750, 0.750, 0.750)
Cu (0.500, 0.500, 0.500)

---

Entry 4:
Here is LiScCuSn after structural relaxation from Alexandria via LeMat-Bulk. Energies are from GGA-PBE.

- electronic total energy (eV/atom) = -4.43

abc: 4.698 4.698 4.698
angles: 60.00 60.00 60.00
Atoms (fractional coordinates):
Li (0.000, 0.000, 0.000)
Sc (0.500, 0.500, 0.500)
Cu (0.250, 0.250, 0.250)
Sn (0.750, 0.750, 0.750)

---

Entry 5:
Here is LiTbScCu after structural relaxation from Alexandria via LeMat-Bulk. Energies are from GGA-PBE.

- electronic total energy (eV/atom) = -4.27

abc: 4.884 4.884 4.884
angles: 60.00 60.00 60.00
Atoms (fractional coordinates):
Li (0.000, 0.000, 0.000)
Tb (0.250, 0.250, 0.250)
Sc (0.750, 0.750, 0.750)
Cu (0.500, 0.500, 0.500)

---

Entry 6:
Here is LiScCuTc2 after structural relaxation from Alexandria via LeMat-Bulk. Energies are from GGA-PBE.

- electronic total energy (eV/atom) = -5.02

abc: 4.562 4.562 4.433
angles: 90.00 90.00 90.00
Atoms (fractional coordinates):
Li (0.000, 0.000, 0.000)
Sc (0.000, 0.000, 0.500)
Cu (0.500, 0.500, 0.000)
Tc (0.000, 0.500, 0.500)
Tc (0.500, 0.000, 0.500)